Run i
A plane-wave DFT calculation with PBE was carried out for a relaxed structure of In3MoBr.

Properties
The mass density is 5.35 Mg/m³. The value obtained for the spin magnetization is 2.63 Bohr magnetons per cell.

a = 5.446 Å, b = 5.446 Å, c = 5.446 Å
α = 90.00°, β = 90.00°, γ = 90.00°
Space group Pm-3m (No. 221)
Symmetry-distinct sites (fractional):
In 0.000 0.000 0.500 (multiplicity 3)
Mo 0.000 0.000 0.000 (multiplicity 1)
Br 0.500 0.500 0.500 (multiplicity 1)

Run ii
A plane-wave DFT calculation with PBE was carried out for a relaxed structure of In3MoBr.

Properties
The mass density is 4.49 Mg/m³. The value obtained for the spin magnetization is 4.61 Bohr magnetons per cell.

a = 5.775 Å, b = 5.775 Å, c = 5.775 Å
α = 90.00°, β = 90.00°, γ = 90.00°
Space group Pm-3m (No. 221)
Symmetry-distinct sites (fractional):
In 0.000 0.000 0.500 (multiplicity 3)
Mo 0.500 0.500 0.500 (multiplicity 1)
Br 0.000 0.000 0.000 (multiplicity 1)

Of all the structures shown, which is most stable? run i, and run ii is the least stable.